(1)
{"formula": "BeTeF2", "functional": "PBE-GGA", "state": "optimized geometry", "cell": [[2.9391, 0.0000, 0.0000], [-1.4695, 2.5453, 0.0000], [0.0000, 0.0000, 29.4038]], "species": ["Be", "Be", "Be", "Te", "Te", "Te", "F", "F", "F", "F", "F", "F"], "frac_coords": [[0.0000, 0.0000, 0.0000], [0.3333, 0.6667, 0.6667], [0.6667, 0.3333, 0.3333], [0.0000, 0.0000, 0.5000], [0.3333, 0.6667, 0.1667], [0.6667, 0.3333, 0.8333], [0.0000, 0.0000, 0.3616], [0.0000, 0.0000, 0.6384], [0.3333, 0.6667, 0.0282], [0.3333, 0.6667, 0.3051], [0.6667, 0.3333, 0.6949], [0.6667, 0.3333, 0.9718]]}

***

(2)
{"formula": "BeTeF2", "functional": "PBE-GGA", "state": "optimized geometry", "cell": [[6.1564, 0.0000, 0.0000], [0.0000, 6.1564, 0.0000], [0.0000, 0.0000, 6.1564]], "species": ["Be", "Be", "Be", "Be", "Te", "Te", "Te", "Te", "F", "F", "F", "F", "F", "F", "F", "F"], "frac_coords": [[0.0000, 0.0000, 0.0000], [0.0000, 0.5000, 0.5000], [0.5000, 0.0000, 0.5000], [0.5000, 0.5000, 0.0000], [0.0000, 0.0000, 0.5000], [0.0000, 0.5000, 0.0000], [0.5000, 0.0000, 0.0000], [0.5000, 0.5000, 0.5000], [0.2500, 0.2500, 0.2500], [0.2500, 0.2500, 0.7500], [0.2500, 0.7500, 0.2500], [0.2500, 0.7500, 0.7500], [0.7500, 0.2500, 0.2500], [0.7500, 0.2500, 0.7500], [0.7500, 0.7500, 0.2500], [0.7500, 0.7500, 0.7500]]}

***

(3)
{"formula": "BeTeF2", "functional": "PBE-GGA", "state": "optimized geometry", "cell": [[0.0000, 3.8309, 3.8309], [3.8309, 0.0000, 3.8309], [3.8309, 3.8309, 0.0000]], "species": ["Be", "Be", "Te", "Te", "F", "F", "F", "F"], "frac_coords": [[0.1250, 0.1250, 0.1250], [0.8750, 0.8750, 0.8750], [0.3750, 0.3750, 0.3750], [0.6250, 0.6250, 0.6250], [0.0000, 0.0000, 0.0000], [0.0000, 0.0000, 0.5000], [0.0000, 0.5000, 0.0000], [0.5000, 0.0000, 0.0000]]}

***

List of relative energies, unit kJ/mol of atoms: (1) 8.0; (2) 164.5; (3) 0.0